# Hg2PdPb | Alexandria via LeMat-Bulk | PBE | optimized geometry
# Total magnetization   0.00 μB/f.u.
# Energy of formation from the pure elements   -0.0080 eV per atom
# VASP energy   -2.3842 eV per atom
data_Hg2PdPb
_space_group_name_H-M_alt 'P 4/m m m'
_space_group_IT_number 123
_space_group_name_Hall '-P 4 2'
_cell_length_a 3.307
_cell_length_b 3.307
_cell_length_c 8.372
_cell_angle_alpha 90.00
_cell_angle_beta 90.00
_cell_angle_gamma 90.00
loop_
_atom_site_label
_atom_site_type_symbol
_atom_site_fract_x
_atom_site_fract_y
_atom_site_fract_z
Hg1 Hg 0.000 0.000 0.205
Pd1 Pd 0.500 0.500 0.000
Pb1 Pb 0.500 0.500 0.500